No. 1
An optimized crystal structure of In2FeIO8, computed with PBE+U.

Output
* total DFT energy (no corrections): -5.30 eV/atom

abc: 4.7846 6.4697 4.8180
angles: 90.00 93.63 90.00
With the nearest neighbours (Å) after each atom.
Space group P2/m (No. 10)
Symmetry-distinct sites (fractional):
In 0.0000 0.2439 0.0000 (multiplicity 2)  6 O 2.11-2.26
Fe 0.5000 0.0000 0.5000 (multiplicity 1)  2 O 1.88
I 0.5000 0.5000 0.5000 (multiplicity 1)  6 O 1.91-1.92
O 0.2187 0.5000 0.1997 (multiplicity 2)  1 I 1.91
O 0.2217 0.0000 0.2063 (multiplicity 2)  1 Fe 1.88
O 0.3130 0.2758 0.6715 (multiplicity 4)  1 I 1.92


No. 2
An optimized crystal structure of InFeIO2, computed with PBE+U.

Output
* total DFT energy (no corrections): -4.10 eV/atom
* offset from the most stable computed form: 0.0 meV per atom

abc: 4.1463 4.1463 6.1845
angles: 90.00 90.00 90.00
With the nearest neighbours (Å) after each atom.
Space group P4/mmm (No. 123)
Symmetry-distinct sites (fractional):
In 0.0000 0.0000 0.0000 (multiplicity 1)  4 O 2.07
Fe 0.5000 0.5000 0.5000 (multiplicity 1)  4 I 2.93
I 0.0000 0.0000 0.5000 (multiplicity 1)  4 Fe 2.93, 2 In 3.09
O 0.0000 0.5000 0.0000 (multiplicity 2)  2 In 2.07


No. 3
An optimized crystal structure of InFeIO2, computed with PBE+U.

Output
* total DFT energy (no corrections): -4.01 eV/atom
* offset from the most stable computed form: 86.8 meV per atom

abc: 4.2341 4.2341 8.2299
angles: 90.00 90.00 90.00
With the nearest neighbours (Å) after each atom.
Space group P4/mmm (No. 123)
Symmetry-distinct sites (fractional):
In 0.0000 0.0000 0.0000 (multiplicity 1)  4 I 2.99
Fe 0.5000 0.5000 0.5000 (multiplicity 1)  4 O 2.12
I 0.5000 0.5000 0.0000 (multiplicity 1)  4 In 2.99
O 0.0000 0.5000 0.5000 (multiplicity 2)  2 Fe 2.12


Question: What is the total DFT energy (no corrections) in the first record?
Answer: -5.30 eV/atom